Y2TaFe | PBE-GGA | optimized geometry

```
data_Y2TaFe
_cell_length_a 3.244
_cell_length_b 3.237
_cell_length_c 8.533
_cell_angle_alpha 90.00
_cell_angle_beta 90.03
_cell_angle_gamma 90.00
_symmetry_space_group_name_H-M 'P 1 m 1'
_symmetry_Int_Tables_number 6
loop_
_symmetry_equiv_pos_as_xyz
'x,y,z'
'x,-y,z'
loop_
_atom_site_label
_atom_site_fract_x
_atom_site_fract_y
_atom_site_fract_z
Y1 0.000 0.000 0.000
Y2 0.499 0.500 0.635
Ta1 0.501 0.500 0.265
Fe1 0.001 0.000 0.405
```

Results
Energy above the most stable polymorph in this dataset = 0.0 meV/atom
ρ = 7.68 g cm⁻³
Formation enthalpy at 0 K = 108 meV/atom
DOS at the Fermi energy = 1.50 states/eV per atom